The following is a DFT calculation (PBE+U) of a geometry-optimized CoCu4O2 structure.

Magnetization ... 4.8 Bohr magnetons per cell
Calculated total energy ... -52.86 eV for the cell shown

Cell: 4.3313 4.3313 10.7011 Å, 90.00 90.00 90.00°
Closest atoms and distances in Å follow each position.
Space group I4/mmm (No. 139)
Symmetry-distinct sites (fractional):
Co1 0.0000 0.0000 0.0000  6 Cu 2.17-2.35
Cu1 0.0000 0.0000 0.2199  1 O 1.81
Cu2 0.0000 0.5000 0.0000  2 Co 2.17
O1 0.0000 0.0000 0.3892  1 Cu 1.81